Compound: Mg3Fe
Source: the Alexandria database
Functional: PBE-GGA
Structure: relaxed

a b c (Å): 5.2829 9.6539 5.7980
angles (deg): 90.00 90.00 90.00
Closest atoms and distances in Å follow each position.
Positions (direct):
Mg 0.0158 0.2500 0.1324  3 Fe 2.80-3.04, 6 Mg 2.97-3.03
Mg 0.2294 0.5218 0.3767  2 Fe 2.74-2.75, 7 Mg 2.85-3.03
Mg 0.2294 0.9782 0.3767  2 Fe 2.74-2.75, 7 Mg 2.85-3.03
Mg 0.2706 0.0218 0.8767  2 Fe 2.74-2.75, 7 Mg 2.85-3.03
Mg 0.2706 0.4782 0.8767  2 Fe 2.74-2.75, 7 Mg 2.85-3.03
Mg 0.4842 0.7500 0.6324  3 Fe 2.80-3.04, 6 Mg 2.97-3.03
Mg 0.5158 0.2500 0.3676  3 Fe 2.80-3.04, 6 Mg 2.97-3.03
Mg 0.7294 0.5218 0.1233  2 Fe 2.74-2.75, 7 Mg 2.85-3.03
Mg 0.7294 0.9782 0.1233  2 Fe 2.74-2.75, 7 Mg 2.85-3.03
Mg 0.7706 0.0218 0.6233  2 Fe 2.74-2.75, 7 Mg 2.85-3.03
Mg 0.7706 0.4782 0.6233  2 Fe 2.74-2.75, 7 Mg 2.85-3.03
Mg 0.9842 0.7500 0.8676  3 Fe 2.80-3.04, 6 Mg 2.97-3.03
Fe 0.0763 0.2500 0.6531  7 Mg 2.74-3.04, 2 Fe 2.87
Fe 0.4237 0.7500 0.1531  7 Mg 2.74-3.04, 2 Fe 2.87
Fe 0.5763 0.2500 0.8469  7 Mg 2.74-3.04, 2 Fe 2.87
Fe 0.9237 0.7500 0.3469  7 Mg 2.74-3.04, 2 Fe 2.87

Output
The symmetry is Pnma. The theoretical density comes out at 2.89 g/cm3. For the energy of formation from the pure elements, the calculation gives 0.21 eV/atom. For the total moment, the calculation gives 2.18 μB/f.u. For the volume, the calculation gives 295.7 Å³/cell. The calculation puts the total energy at -3.099 eV/atom.

Compound: Mg3MnFe
Source: the Alexandria database
Functional: PBE-GGA
Structure: relaxed

a b c (Å): 4.9184 4.9184 4.9184
angles (deg): 90.00 90.00 90.00
Closest atoms and distances in Å follow each position.
Positions (direct):
Mg 0.0000 0.0000 0.5000  2 Mn 2.46
Mg 0.0000 0.5000 0.0000  2 Mn 2.46
Mg 0.5000 0.0000 0.0000  2 Mn 2.46
Mn 0.0000 0.0000 0.0000  6 Mg 2.46
Fe 0.5000 0.5000 0.5000  12 Mg 3.48

Output
The symmetry is Pm-3m. The theoretical density comes out at 2.56 g/cm3. For the energy of formation from the pure elements, the calculation gives 1.09 eV/atom. For the total moment, the calculation gives 6.60 μB/f.u. As for the energy above the most stable polymorph in this dataset: 0.0 meV per atom. For the volume, the calculation gives 119.0 Å³/cell. The calculation puts the total energy at -3.389 eV/atom.

Compound: MgMnFe
Source: the Alexandria database
Functional: PBE-GGA
Structure: relaxed

a b c (Å): 2.6757 2.6757 6.5179
angles (deg): 90.00 90.00 120.00
Closest atoms and distances in Å follow each position.
Positions (direct):
Mg 0.0000 0.0000 0.0000  6 Mg 2.68, 3 Fe 2.78, 3 Mn 2.81
Mn 0.3333 0.6667 0.3602  3 Fe 2.42, 6 Mn 2.68
Fe 0.6667 0.3333 0.6458  3 Mn 2.42, 6 Fe 2.68

Output
The symmetry is P3m1. The theoretical density comes out at 5.55 g/cm3. For the energy of formation from the pure elements, the calculation gives 0.37 eV/atom. For the total moment, the calculation gives 0.26 μB/f.u. As for the energy above the most stable polymorph in this dataset: 130.8 meV per atom. For the volume, the calculation gives 40.4 Å³/cell. The calculation puts the total energy at -6.041 eV/atom.

Compound: MgMnFe2
Source: the Alexandria database
Functional: PBE-GGA
Structure: relaxed

a b c (Å): 4.8286 4.8286 2.5048
angles (deg): 97.81 97.81 115.77
Closest atoms and distances in Å follow each position.
Positions (direct):
Mg 0.0000 0.0000 0.0000  2 Mg 2.50, 4 Fe 2.56, 2 Mn 2.57
Mn 0.5000 0.5000 0.0000  2 Mn 2.50, 4 Fe 2.56, 2 Mg 2.57
Fe 0.0000 0.5000 0.5000  4 Fe 2.50-2.57, 2 Mn 2.56, 2 Mg 2.56
Fe 0.5000 0.0000 0.5000  4 Fe 2.50-2.57, 2 Mn 2.56, 2 Mg 2.56

Output
The symmetry is C2/m. The theoretical density comes out at 6.24 g/cm3. For the energy of formation from the pure elements, the calculation gives 0.31 eV/atom. For the total moment, the calculation gives 5.96 μB/f.u. For the volume, the calculation gives 50.8 Å³/cell. The calculation puts the total energy at -6.616 eV/atom.

Compound: MgMnFe2
Source: the Alexandria database
Functional: PBE-GGA
Structure: relaxed

a b c (Å): 3.0262 3.0262 5.7282
angles (deg): 90.00 90.00 90.00
Closest atoms and distances in Å follow each position.
Positions (direct):
Mg 0.0000 0.0000 0.0000  8 Fe 2.74, 2 Mn 2.86, 4 Mg 3.03
Mn 0.0000 0.0000 0.5000  8 Fe 2.43
Fe 0.5000 0.5000 0.2978  1 Fe 2.32, 4 Mn 2.43
Fe 0.5000 0.5000 0.7022  1 Fe 2.32, 4 Mn 2.43

Output
The symmetry is P4/mmm. The theoretical density comes out at 6.04 g/cm3. For the energy of formation from the pure elements, the calculation gives 0.24 eV/atom. For the total moment, the calculation gives 5.07 μB/f.u. For the volume, the calculation gives 52.5 Å³/cell. The calculation puts the total energy at -6.685 eV/atom.

Compound: MgMn2Fe
Source: the Alexandria database
Functional: PBE-GGA
Structure: relaxed

a b c (Å): 2.5831 4.2070 4.9323
angles (deg): 90.00 99.05 90.00
Closest atoms and distances in Å follow each position.
Positions (direct):
Mg 0.0000 0.0000 0.0000  2 Mg 2.58, 2 Fe 2.60, 4 Mn 2.70
Mn 0.2925 0.5000 0.7151  4 Mn 2.40-2.58, 2 Fe 2.45
Mn 0.7075 0.5000 0.2849  4 Mn 2.40-2.58, 2 Fe 2.45
Fe 0.5000 0.0000 0.5000  4 Mn 2.45, 2 Fe 2.58, 2 Mg 2.60

Output
The symmetry is P2/m. The theoretical density comes out at 5.96 g/cm3. For the energy of formation from the pure elements, the calculation gives 0.34 eV/atom. For the total moment, the calculation gives 6.11 μB/f.u. For the volume, the calculation gives 52.9 Å³/cell. The calculation puts the total energy at -6.758 eV/atom.

Compound: MgMn2Fe
Source: the Alexandria database
Functional: PBE-GGA
Structure: relaxed

a b c (Å): 4.6440 4.6440 4.6440
angles (deg): 135.37 128.71 70.30
Closest atoms and distances in Å follow each position.
Positions (direct):
Mg 0.0000 0.0000 0.0000  4 Fe 2.64-2.72, 8 Mn 2.67-2.70
Mn 0.2633 0.7633 0.5000  4 Mn 2.57-2.78, 4 Mg 2.67-2.70, 4 Fe 2.68
Mn 0.5099 0.5099 0.0000  2 Fe 2.49, 4 Mn 2.57-2.78, 4 Mg 2.67
Fe 0.7415 0.2415 0.5000  6 Mn 2.49-2.68, 4 Mg 2.64-2.72

Output
The symmetry is Imm2. The theoretical density comes out at 5.86 g/cm3. For the energy of formation from the pure elements, the calculation gives 0.27 eV/atom. For the total moment, the calculation gives 1.62 μB/f.u. For the volume, the calculation gives 53.8 Å³/cell. The calculation puts the total energy at -6.833 eV/atom.

Compound: MgMnFe2
Source: the Alexandria database
Functional: PBE-GGA
Structure: relaxed

a b c (Å): 4.9423 4.9423 4.9423
angles (deg): 145.23 128.94 63.26
Closest atoms and distances in Å follow each position.
Positions (direct):
Mg 0.0000 0.0000 0.0000  8 Fe 2.60-2.91, 4 Mn 2.74-2.85
Mn 0.7255 0.2255 0.5000  6 Fe 2.57-2.61, 4 Mg 2.74-2.85
Fe 0.2642 0.7642 0.5000  2 Fe 2.31
Fe 0.4757 0.4757 0.0000  2 Fe 2.31, 2 Mn 2.57

Output
The symmetry is Imm2. The theoretical density comes out at 5.99 g/cm3. For the energy of formation from the pure elements, the calculation gives 0.27 eV/atom. For the total moment, the calculation gives 6.55 μB/f.u. For the volume, the calculation gives 52.9 Å³/cell. The calculation puts the total energy at -6.652 eV/atom.

What is the formula in the third record? MgMnFe